1.
VASP calculation (PBE) on crystalline MoIr2 at its relaxed geometry.

Cell and atoms, written as POSCAR:
```
MoIr2
1.0
-1.953 1.953 11.672
1.953 -1.953 11.672
1.953 1.953 -11.672
Mo Ir
4 8
Cartesian
1.953 0.976 0.969
1.953 0.976 4.867
0.000 0.976 6.805
0.000 0.976 10.702
1.953 -0.976 6.813
1.953 0.976 -2.950
1.953 -0.976 10.695
0.000 0.976 2.886
1.953 0.976 8.786
0.000 2.929 0.977
0.000 0.976 14.622
0.000 2.929 4.859
```

Symmetry ... I4_1/amd (141)
Crystal system ... tetragonal
Calculated volume ... 14.84 Å³ per atom
DFT formation energy ... -0.27 eV/atom

2.
VASP calculation (PBE) on crystalline SrHg2Se2 at its relaxed geometry.

Cell and atoms, written as POSCAR:
```
SrHg2Se2
1.0
8.095 0.000 0.000
0.000 8.095 0.000
0.000 0.000 4.240
Sr Hg Se
2 4 4
Cartesian
0.000 0.000 0.000
4.048 4.048 0.000
1.110 2.937 2.120
2.937 6.985 2.120
5.158 1.110 2.120
6.985 5.158 2.120
1.356 5.403 0.000
2.692 1.356 0.000
5.403 6.739 0.000
6.739 2.692 0.000
```

Relative energy among the computed polymorphs ... 214 meV per atom
Symmetry ... P4/mbm (127)
Crystal system ... tetragonal
Calculated volume ... 27.78 Å³ per atom
ΔE_f (raw) ... -0.5269 eV/atom

3.
VASP calculation (PBE) on crystalline Ce3Pm3PrSe8 at its relaxed geometry.

Cell and atoms, written as POSCAR:
```
Ce3Pm3PrSe8
1.0
4.198 2.424 6.850
-4.198 2.424 6.850
0.000 -4.848 6.850
Ce Pm Pr Se
3 3 1 8
Cartesian
-2.099 -1.212 6.850
-2.099 1.212 13.701
0.000 2.424 6.850
-4.198 0.000 10.275
-2.099 1.212 3.425
2.099 1.212 3.425
0.000 0.000 0.000
0.000 0.000 5.130
-2.061 -1.190 11.951
0.000 -2.380 8.600
-2.061 1.190 8.600
2.061 -1.190 11.951
0.000 2.380 11.951
2.061 1.190 8.600
0.000 0.000 15.421
```

Symmetry ... R-3m (166)
Crystal system ... trigonal
Calculated volume ... 27.88 Å³ per atom
ΔE_f (raw) ... -1.8597 eV/atom

4.
VASP calculation (PBE) on crystalline K2RbCdF at its relaxed geometry.

Cell and atoms, written as POSCAR:
```
K2RbCdF
1.0
5.570 0.000 0.000
0.000 5.570 0.000
0.000 0.000 5.811
K Rb Cd F
2 1 1 1
Cartesian
0.000 2.785 0.000
2.785 0.000 0.000
0.000 0.000 2.905
2.785 2.785 2.905
0.000 0.000 0.000
```

Symmetry ... P4/mmm (123)
Crystal system ... tetragonal
Calculated volume ... 36.06 Å³ per atom
ΔE_f (raw) ... -1.0304 eV/atom

5.
VASP calculation (PBE) on crystalline TbY3Pd3 at its relaxed geometry.

Cell and atoms, written as POSCAR:
```
TbY3Pd3
1.0
4.638 -5.222 0.000
4.638 5.222 0.000
-0.252 0.000 7.119
Tb Y Pd
2 6 6
Cartesian
2.129 0.000 2.681
6.895 0.000 4.438
1.200 0.000 6.168
4.512 2.630 3.559
4.638 1.847 0.000
4.638 -1.847 0.000
4.512 -2.630 3.559
7.824 0.000 0.951
2.202 2.676 5.556
3.890 0.000 4.920
6.823 2.676 1.563
2.202 -2.676 5.556
5.135 0.000 2.198
6.823 -2.676 1.563
```

Symmetry ... C2/m (12)
Crystal system ... monoclinic
Calculated volume ... 24.63 Å³ per atom
DFT formation energy ... -0.69 eV/atom

6.
VASP calculation (PBE) on crystalline KAgTe at its relaxed geometry.

Cell and atoms, written as POSCAR:
```
KAgTe
1.0
-2.077 2.077 5.910
2.077 -2.077 5.910
2.077 2.077 -5.910
K Ag Te
1 1 1
Cartesian
0.000 0.000 0.000
0.000 0.000 8.735
0.000 0.000 3.335
```

Symmetry ... I4mm (107)
Crystal system ... tetragonal
Calculated volume ... 34.00 Å³ per atom
ΔE_f (raw) ... -0.3513 eV/atom

7.
VASP calculation (PBE) on crystalline CsAu at its relaxed geometry.

Cell and atoms, written as POSCAR:
```
CsAu
1.0
4.358 0.000 0.000
0.000 4.358 0.000
0.000 0.000 4.358
Cs Au
1 1
Cartesian
0.000 0.000 0.000
2.179 2.179 2.179
```

Relative energy among the computed polymorphs ... 9 meV per atom
Symmetry ... Pm-3m (221)
Crystal system ... cubic
Calculated volume ... 41.39 Å³ per atom
DFT formation energy ... -0.33 eV/atom

8.
VASP calculation (PBE) on crystalline CaRhBr2 at its relaxed geometry.

Cell and atoms, written as POSCAR:
```
CaRhBr2
1.0
0.000 3.527 3.527
3.527 0.000 3.527
3.527 3.527 0.000
Ca Rh Br
1 1 2
Cartesian
0.000 0.000 0.000
3.527 3.527 3.527
1.764 1.764 1.764
5.291 5.291 5.291
```

Relative energy among the computed polymorphs ... 242 meV per atom
Symmetry ... Fm-3m (225)
Crystal system ... cubic
Calculated volume ... 21.95 Å³ per atom
ΔE_f (raw) ... -0.5760 eV/atom